# 1
# FeCo2 SCAN single point on PBEsol structure
# **Energy**: -105.97 eV per cell
# **DFT formation energy**: -0.083 eV/atom
# **SG**: P-1 (2)
data_FeCo2
_cell_length_a 2.4206
_cell_length_b 4.6661
_cell_length_c 6.0026
_cell_angle_alpha 77.32
_cell_angle_beta 81.68
_cell_angle_gamma 78.22
_space_group_name_H-M_alt 'P 1'
_space_group_IT_number 1
loop_
_space_group_symop_operation_xyz
'x,y,z'
loop_
_atom_site_label
_atom_site_type_symbol
_atom_site_fract_x
_atom_site_fract_y
_atom_site_fract_z
Co1 Co 0.7949 0.7525 0.0002
Co2 Co 0.5869 0.5843 0.6707
Co3 Co 0.4131 0.4157 0.3293
Co4 Co 0.2051 0.2475 0.9998
Fe1 Fe 0.0805 0.0869 0.6660
Fe2 Fe 0.9195 0.9131 0.3340

=====

# 2
# LaHgPO2 SCAN single point on PBEsol structure
# **Energy**: -138.40 eV per cell
# **SG**: P4/mmm (123)
data_LaHgPO2
_cell_length_a 4.1584
_cell_length_b 4.1584
_cell_length_c 6.3574
_cell_angle_alpha 90.00
_cell_angle_beta 90.00
_cell_angle_gamma 90.00
_space_group_name_H-M_alt 'P 1'
_space_group_IT_number 1
loop_
_space_group_symop_operation_xyz
'x,y,z'
loop_
_atom_site_label
_atom_site_type_symbol
_atom_site_fract_x
_atom_site_fract_y
_atom_site_fract_z
P1 P 0.0000 0.0000 0.5000
Hg1 Hg 0.5000 0.5000 0.5000
O1 O 0.0000 0.5000 0.0000
O2 O 0.5000 0.0000 0.0000
La1 La 0.0000 0.0000 0.0000

=====

# 3
# LuP3O9 SCAN single point on PBEsol structure
# **Energy**: -358.30 eV per cell
# **SG**: Cc (9)
data_LuP3O9
_cell_length_a 6.6873
_cell_length_b 7.7553
_cell_length_c 8.6572
_cell_angle_alpha 74.51
_cell_angle_beta 67.28
_cell_angle_gamma 64.46
_space_group_name_H-M_alt 'P 1'
_space_group_IT_number 1
loop_
_space_group_symop_operation_xyz
'x,y,z'
loop_
_atom_site_label
_atom_site_type_symbol
_atom_site_fract_x
_atom_site_fract_y
_atom_site_fract_z
Lu1 Lu 0.3930 0.0989 0.6446
Lu2 Lu 0.8636 0.5989 0.1446
P1 P 0.4448 0.3424 0.9155
P2 P 0.8912 0.0630 0.9774
P3 P 0.0683 0.5630 0.4774
P4 P 0.8814 0.1349 0.3108
P5 P 0.2973 0.8424 0.4155
P6 P 0.6729 0.6349 0.8108
O1 O 0.0437 0.1316 0.8164
O2 O 0.6280 0.2157 0.0168
O3 O 0.1266 0.0388 0.3441
O4 O 0.8341 0.5757 0.6276
O5 O 0.2090 0.3936 0.0436
O6 O 0.0083 0.6316 0.3164
O7 O 0.8917 0.8652 0.9971
O8 O 0.2460 0.3652 0.4971
O9 O 0.4890 0.2461 0.7708
O10 O 0.4905 0.5388 0.8441
O11 O 0.1395 0.7157 0.5168
O12 O 0.7159 0.0436 0.4362
O13 O 0.8045 0.3478 0.3013
O14 O 0.3537 0.8936 0.5436
O15 O 0.4942 0.7461 0.2708
O16 O 0.9626 0.0757 0.1276
O17 O 0.5464 0.8478 0.8013
O18 O 0.8043 0.5436 0.9362

=====

# 4
# KCd2Ag SCAN single point on PBEsol structure
# **Energy**: -99.92 eV per cell
# **Energy above the most stable polymorph in this dataset**: 159 meV/atom
# **DFT formation energy**: 0.151 eV/atom
# **SG**: R-3m (166)
data_KCd2Ag
_cell_length_a 3.1992
_cell_length_b 3.1992
_cell_length_c 10.6042
_cell_angle_alpha 81.32
_cell_angle_beta 81.32
_cell_angle_gamma 60.00
_space_group_name_H-M_alt 'P 1'
_space_group_IT_number 1
loop_
_space_group_symop_operation_xyz
'x,y,z'
loop_
_atom_site_label
_atom_site_type_symbol
_atom_site_fract_x
_atom_site_fract_y
_atom_site_fract_z
Ag1 Ag 0.0000 0.0000 0.0000
Cd1 Cd 0.2618 0.2618 0.2145
Cd2 Cd 0.7382 0.7382 0.7855
K1 K 0.5000 0.5000 0.5000

=====

# 5
# Ho3SOF5 SCAN single point on PBEsol structure
# **Energy**: -442.22 eV per cell
# **SG**: Pm (6)
data_Ho3SOF5
_cell_length_a 3.5947
_cell_length_b 9.1955
_cell_length_c 9.2467
_cell_angle_alpha 119.53
_cell_angle_beta 90.00
_cell_angle_gamma 90.00
_space_group_name_H-M_alt 'P 1'
_space_group_IT_number 1
loop_
_space_group_symop_operation_xyz
'x,y,z'
loop_
_atom_site_label
_atom_site_type_symbol
_atom_site_fract_x
_atom_site_fract_y
_atom_site_fract_z
Ho1 Ho 0.0000 0.5838 0.8671
Ho2 Ho 0.0000 0.1316 0.7284
Ho3 Ho 0.0000 0.2986 0.4147
Ho4 Ho 0.5000 0.4042 0.1035
Ho5 Ho 0.5000 0.8777 0.2854
Ho6 Ho 0.5000 0.7041 0.5970
S1 S 0.0000 0.6705 0.3328
S2 S 0.5000 0.3270 0.6618
O1 O 0.0000 0.5637 0.6130
O2 O 0.0000 0.3837 0.9479
F1 F 0.0000 0.8435 0.1197
F2 F 0.0000 0.8875 0.7273
F3 F 0.0000 0.2731 0.1609
F4 F 0.5000 0.1439 0.8826
F5 F 0.5000 0.1206 0.2827
F6 F 0.5000 0.7304 0.8519
F7 F 0.0000 0.0472 0.4339
F8 F 0.5000 0.4308 0.3740
F9 F 0.5000 0.6231 0.0480
F10 F 0.5000 0.9550 0.5674

=====

# 6
# MgTcP SCAN single point on PBEsol structure
# **Energy**: -52.01 eV per cell
# **DFT formation energy**: -0.526 eV/atom
# **SG**: I4mm (107)
data_MgTcP
_cell_length_a 3.0772
_cell_length_b 3.0772
_cell_length_c 5.1091
_cell_angle_alpha 107.53
_cell_angle_beta 107.53
_cell_angle_gamma 90.00
_space_group_name_H-M_alt 'P 1'
_space_group_IT_number 1
loop_
_space_group_symop_operation_xyz
'x,y,z'
loop_
_atom_site_label
_atom_site_type_symbol
_atom_site_fract_x
_atom_site_fract_y
_atom_site_fract_z
P1 P 0.6959 0.6959 0.3917
Mg1 Mg 0.0023 0.0023 0.0045
Tc1 Tc 0.3019 0.3019 0.6037

=====

# 7
# YAs2Ir SCAN single point on PBEsol structure
# **Energy**: -140.89 eV per cell
# **Energy above the most stable polymorph in this dataset**: 571 meV/atom
# **DFT formation energy**: -0.391 eV/atom
# **SG**: Fm-3m (225)
data_YAs2Ir
_cell_length_a 4.6436
_cell_length_b 4.6436
_cell_length_c 4.6436
_cell_angle_alpha 60.00
_cell_angle_beta 60.00
_cell_angle_gamma 60.00
_space_group_name_H-M_alt 'P 1'
_space_group_IT_number 1
loop_
_space_group_symop_operation_xyz
'x,y,z'
loop_
_atom_site_label
_atom_site_type_symbol
_atom_site_fract_x
_atom_site_fract_y
_atom_site_fract_z
Y1 Y 0.5000 0.5000 0.5000
As1 As 0.2500 0.2500 0.2500
As2 As 0.7500 0.7500 0.7500
Ir1 Ir 0.0000 0.0000 0.0000

=====

# 8
# MgCd2In SCAN single point on PBEsol structure
# **Energy**: -99.48 eV per cell
# **DFT formation energy**: -0.072 eV/atom
# **SG**: I-4m2 (119)
data_MgCd2In
_cell_length_a 4.4572
_cell_length_b 4.4572
_cell_length_c 5.3942
_cell_angle_alpha 114.40
_cell_angle_beta 114.40
_cell_angle_gamma 90.00
_space_group_name_H-M_alt 'P 1'
_space_group_IT_number 1
loop_
_space_group_symop_operation_xyz
'x,y,z'
loop_
_atom_site_label
_atom_site_type_symbol
_atom_site_fract_x
_atom_site_fract_y
_atom_site_fract_z
Mg1 Mg 0.2500 0.7500 0.5000
In1 In 0.5000 0.5000 0.0000
Cd1 Cd 0.0000 0.0000 0.0000
Cd2 Cd 0.7500 0.2500 0.5000

=====

# 9
# Sm3MgTi4O14 SCAN single point on PBEsol structure
# **Energy**: -364.18 eV per cell
# **SG**: R-3m (166)
data_Sm3MgTi4O14
_cell_length_a 7.0893
_cell_length_b 7.0893
_cell_length_c 7.0893
_cell_angle_alpha 61.17
_cell_angle_beta 61.17
_cell_angle_gamma 61.17
_space_group_name_H-M_alt 'P 1'
_space_group_IT_number 1
loop_
_space_group_symop_operation_xyz
'x,y,z'
loop_
_atom_site_label
_atom_site_type_symbol
_atom_site_fract_x
_atom_site_fract_y
_atom_site_fract_z
Sm1 Sm 0.0000 0.5000 0.5000
Sm2 Sm 0.5000 0.5000 0.0000
Sm3 Sm 0.5000 0.0000 0.5000
Mg1 Mg 0.5000 0.5000 0.5000
Ti1 Ti 0.0000 0.0000 0.0000
Ti2 Ti 0.5000 0.0000 0.0000
Ti3 Ti 0.0000 0.0000 0.5000
Ti4 Ti 0.0000 0.5000 0.0000
O1 O 0.9294 0.3226 0.3226
O2 O 0.3286 0.9194 0.9194
O3 O 0.3226 0.3226 0.9294
O4 O 0.9194 0.9194 0.3286
O5 O 0.9194 0.3286 0.9194
O6 O 0.3226 0.9294 0.3226
O7 O 0.0706 0.6774 0.6774
O8 O 0.6714 0.0806 0.0806
O9 O 0.6774 0.6774 0.0706
O10 O 0.0806 0.0806 0.6714
O11 O 0.0806 0.6714 0.0806
O12 O 0.6774 0.0706 0.6774
O13 O 0.3853 0.3853 0.3853
O14 O 0.6147 0.6147 0.6147

=====

# 10
# Ca3Y SCAN single point on PBEsol structure
# **Energy**: -56.56 eV per cell
# **Energy above the most stable polymorph in this dataset**: 0 meV/atom
# **DFT formation energy**: 0.067 eV/atom
# **SG**: P-6m2 (187)
data_Ca3Y
_cell_length_a 3.7225
_cell_length_b 3.7225
_cell_length_c 12.4305
_cell_angle_alpha 90.00
_cell_angle_beta 90.00
_cell_angle_gamma 120.00
_space_group_name_H-M_alt 'P 1'
_space_group_IT_number 1
loop_
_space_group_symop_operation_xyz
'x,y,z'
loop_
_atom_site_label
_atom_site_type_symbol
_atom_site_fract_x
_atom_site_fract_y
_atom_site_fract_z
Y1 Y 0.3333 0.6667 0.5000
Ca1 Ca 0.0000 0.0000 0.2612
Ca2 Ca 0.0000 0.0000 0.7388
Ca3 Ca 0.3333 0.6667 0.0000

=====

# 11
# LiFeBO3 SCAN single point on PBEsol structure
# **Energy**: -118.99 eV per cell
# **Energy above the most stable polymorph in this dataset**: 0 meV/atom
# **SG**: P-1 (2)
data_LiFeBO3
_cell_length_a 5.1832
_cell_length_b 5.2368
_cell_length_c 5.5316
_cell_angle_alpha 60.09
_cell_angle_beta 64.83
_cell_angle_gamma 60.18
_space_group_name_H-M_alt 'P 1'
_space_group_IT_number 1
loop_
_space_group_symop_operation_xyz
'x,y,z'
loop_
_atom_site_label
_atom_site_type_symbol
_atom_site_fract_x
_atom_site_fract_y
_atom_site_fract_z
Li1 Li 0.9044 0.5953 0.7367
Li2 Li 0.0956 0.4047 0.2633
Fe1 Fe 0.4181 0.7236 0.2858
Fe2 Fe 0.5819 0.2764 0.7142
B1 B 0.2391 0.9282 0.7540
B2 B 0.7609 0.0718 0.2460
O1 O 0.2362 0.6663 0.7471
O2 O 0.7638 0.3337 0.2529
O3 O 0.4916 0.9058 0.8047
O4 O 0.5084 0.0942 0.1953
O5 O 0.9951 0.2092 0.7017
O6 O 0.0049 0.7908 0.2983

=====

# 12
# Mg2AlAuC SCAN single point on PBEsol structure
# **Energy**: -95.38 eV per cell
# **DFT formation energy**: 0.315 eV/atom
# **SG**: P4/mmm (123)
data_Mg2AlAuC
_cell_length_a 4.3294
_cell_length_b 4.3294
_cell_length_c 4.3572
_cell_angle_alpha 90.00
_cell_angle_beta 90.00
_cell_angle_gamma 90.00
_space_group_name_H-M_alt 'P 1'
_space_group_IT_number 1
loop_
_space_group_symop_operation_xyz
'x,y,z'
loop_
_atom_site_label
_atom_site_type_symbol
_atom_site_fract_x
_atom_site_fract_y
_atom_site_fract_z
C1 C 0.0000 0.0000 0.0000
Mg1 Mg 0.0000 0.5000 0.0000
Mg2 Mg 0.5000 0.0000 0.0000
Au1 Au 0.0000 0.0000 0.5000
Al1 Al 0.5000 0.5000 0.5000

=====

# 13
# Sb2Te4P SCAN single point on PBEsol structure
# **Energy**: -233.39 eV per cell
# **SG**: R-3m (166)
data_Sb2Te4P
_cell_length_a 4.2854
_cell_length_b 4.2854
_cell_length_c 12.7528
_cell_angle_alpha 80.33
_cell_angle_beta 80.33
_cell_angle_gamma 60.00
_space_group_name_H-M_alt 'P 1'
_space_group_IT_number 1
loop_
_space_group_symop_operation_xyz
'x,y,z'
loop_
_atom_site_label
_atom_site_type_symbol
_atom_site_fract_x
_atom_site_fract_y
_atom_site_fract_z
P1 P 0.0000 0.0000 0.0000
Sb1 Sb 0.5773 0.5773 0.2680
Sb2 Sb 0.4227 0.4227 0.7320
Te1 Te 0.8649 0.8649 0.4052
Te2 Te 0.1351 0.1351 0.5948
Te3 Te 0.7056 0.7056 0.8833
Te4 Te 0.2944 0.2944 0.1167

=====

# 14
# Sb4C SCAN single point on PBEsol structure
# **Energy**: -154.18 eV per cell
# **SG**: Im-3m (229)
data_Sb4C
_cell_length_a 5.3453
_cell_length_b 5.3453
_cell_length_c 5.3453
_cell_angle_alpha 109.47
_cell_angle_beta 109.47
_cell_angle_gamma 109.47
_space_group_name_H-M_alt 'P 1'
_space_group_IT_number 1
loop_
_space_group_symop_operation_xyz
'x,y,z'
loop_
_atom_site_label
_atom_site_type_symbol
_atom_site_fract_x
_atom_site_fract_y
_atom_site_fract_z
Sb1 Sb 0.5000 0.0000 0.0000
Sb2 Sb 0.0000 0.5000 0.0000
Sb3 Sb 0.0000 0.0000 0.5000
Sb4 Sb 0.5000 0.5000 0.5000
C1 C 0.0000 0.0000 0.0000

=====

# 15
# PrFeSi2 SCAN single point on PBEsol structure
# **Energy**: -167.60 eV per cell
# **SG**: Cmcm (63)
data_PrFeSi2
_cell_length_a 3.9932
_cell_length_b 4.0694
_cell_length_c 8.6409
_cell_angle_alpha 76.38
_cell_angle_beta 90.00
_cell_angle_gamma 90.00
_space_group_name_H-M_alt 'P 1'
_space_group_IT_number 1
loop_
_space_group_symop_operation_xyz
'x,y,z'
loop_
_atom_site_label
_atom_site_type_symbol
_atom_site_fract_x
_atom_site_fract_y
_atom_site_fract_z
Pr1 Pr 0.2500 0.1073 0.7854
Pr2 Pr 0.7500 0.8927 0.2146
Si1 Si 0.2500 0.3106 0.3788
Si2 Si 0.7500 0.6894 0.6212
Si3 Si 0.7500 0.5383 0.9233
Si4 Si 0.2500 0.4617 0.0767
Fe1 Fe 0.7500 0.2506 0.4989
Fe2 Fe 0.2500 0.7494 0.5011

=====

# 16
# LiBe8 SCAN single point on PBEsol structure
# **Energy**: -36.13 eV per cell
# **DFT formation energy**: 0.121 eV/atom
# **SG**: I4/mmm (139)
data_LiBe8
_cell_length_a 3.2647
_cell_length_b 5.0533
_cell_length_c 5.0533
_cell_angle_alpha 84.01
_cell_angle_beta 71.15
_cell_angle_gamma 71.15
_space_group_name_H-M_alt 'P 1'
_space_group_IT_number 1
loop_
_space_group_symop_operation_xyz
'x,y,z'
loop_
_atom_site_label
_atom_site_type_symbol
_atom_site_fract_x
_atom_site_fract_y
_atom_site_fract_z
Be1 Be 0.3259 0.0000 0.3482
Be2 Be 0.6741 0.0000 0.6518
Be3 Be 0.6594 0.3406 0.3406
Be4 Be 0.3259 0.3482 0.0000
Be5 Be 0.0000 0.3406 0.6594
Be6 Be 0.6741 0.6518 0.0000
Be7 Be 0.3406 0.6594 0.6594
Be8 Be 0.0000 0.6594 0.3406
Li1 Li 0.0000 0.0000 0.0000

=====

# 17
# Cd2HgRh SCAN single point on PBEsol structure
# **Energy**: -162.79 eV per cell
# **DFT formation energy**: -0.005 eV/atom
# **SG**: Pm (6)
data_Cd2HgRh
_cell_length_a 3.0740
_cell_length_b 4.4104
_cell_length_c 5.6215
_cell_angle_alpha 90.00
_cell_angle_beta 104.46
_cell_angle_gamma 90.00
_space_group_name_H-M_alt 'P 1'
_space_group_IT_number 1
loop_
_space_group_symop_operation_xyz
'x,y,z'
loop_
_atom_site_label
_atom_site_type_symbol
_atom_site_fract_x
_atom_site_fract_y
_atom_site_fract_z
Cd1 Cd 0.0241 0.0000 0.9513
Cd2 Cd 0.7187 0.5000 0.2824
Hg1 Hg 0.3141 0.0000 0.4876
Rh1 Rh 0.4431 0.5000 0.7787

=====

# 18
# LiCl3 SCAN single point on PBEsol structure
# **Energy**: -29.14 eV per cell
# **Energy above the most stable polymorph in this dataset**: 249 meV/atom
# **SG**: P4/mmm (123)
data_LiCl3
_cell_length_a 5.3705
_cell_length_b 5.3705
_cell_length_c 4.6129
_cell_angle_alpha 90.00
_cell_angle_beta 90.00
_cell_angle_gamma 90.00
_space_group_name_H-M_alt 'P 1'
_space_group_IT_number 1
loop_
_space_group_symop_operation_xyz
'x,y,z'
loop_
_atom_site_label
_atom_site_type_symbol
_atom_site_fract_x
_atom_site_fract_y
_atom_site_fract_z
Cl1 Cl 0.5000 0.5000 0.7856
Cl2 Cl 0.0000 0.0000 0.5000
Cl3 Cl 0.5000 0.5000 0.2144
Li1 Li 0.0000 0.0000 0.0000

=====

# 19
# KCdPb2 SCAN single point on PBEsol structure
# **Energy**: -190.79 eV per cell
# **DFT formation energy**: -0.121 eV/atom
# **SG**: C2/m (12)
data_KCdPb2
_cell_length_a 3.4891
_cell_length_b 5.4166
_cell_length_c 7.0037
_cell_angle_alpha 99.05
_cell_angle_beta 90.00
_cell_angle_gamma 108.79
_space_group_name_H-M_alt 'P 1'
_space_group_IT_number 1
loop_
_space_group_symop_operation_xyz
'x,y,z'
loop_
_atom_site_label
_atom_site_type_symbol
_atom_site_fract_x
_atom_site_fract_y
_atom_site_fract_z
Pb1 Pb 0.7646 0.5291 0.8068
Pb2 Pb 0.2354 0.4709 0.1932
K1 K 0.0000 0.0000 0.5000
Cd1 Cd 0.5000 0.0000 0.0000

=====

# 20
# MnTcNO2 SCAN single point on PBEsol structure
# **Energy**: -78.93 eV per cell
# **SG**: P4/mmm (123)
data_MnTcNO2
_cell_length_a 3.8187
_cell_length_b 3.8187
_cell_length_c 3.8180
_cell_angle_alpha 90.00
_cell_angle_beta 90.00
_cell_angle_gamma 90.00
_space_group_name_H-M_alt 'P 1'
_space_group_IT_number 1
loop_
_space_group_symop_operation_xyz
'x,y,z'
loop_
_atom_site_label
_atom_site_type_symbol
_atom_site_fract_x
_atom_site_fract_y
_atom_site_fract_z
Mn1 Mn 0.5000 0.5000 0.5000
Tc1 Tc 0.0000 0.0000 0.0000
O1 O 0.0000 0.5000 0.0000
O2 O 0.5000 0.0000 0.0000
N1 N 0.0000 0.0000 0.5000